Here is HfMgAg2O after structural relaxation from the Alexandria database. Energies are from PBE-GGA.

abc: 4.9584 3.9477 4.9584
angles: 90.00 90.00 90.00
Closest atoms and distances in Å follow each position.
Atoms (fractional coordinates):
Ag: 0.5000 0.0000 0.0000  2 O 2.48
Ag: 0.0000 0.0000 0.5000  2 O 2.48
Hf: 0.0000 0.5000 0.0000  2 O 1.97
Mg: 0.5000 0.5000 0.5000  8 Ag 3.17, 4 Hf 3.51
O: 0.0000 0.0000 0.0000  2 Hf 1.97

## Properties
As for the final energy: -24.76 eV per cell. As for the density: 7.43 g cm⁻³. The total magnetic moment is 0.00 Bohr magnetons per cell.